[1]
VASP calculation (PBE-GGA) on a relaxed structure of NdPuH2Br4.

As for the total energy: -5.43 eV per atom.

Cell lengths 3.9672, 3.9672, 14.7233 Å; angles 90.00, 90.00, 120.00 degrees
Last column: nearest neighbours and their distance in Å.
Space group P-6m2 (No. 187)
Asymmetric unit:
Nd 0.0000 0.0000 0.0000 (multiplicity 1)  3 H 2.29
Pu 0.0000 0.0000 0.5000 (multiplicity 1)  3 H 2.29
H 0.3333 0.6667 0.5000 (multiplicity 1)  3 Pu 2.29
H 0.6667 0.3333 0.0000 (multiplicity 1)  3 Nd 2.29
Br 0.3333 0.6667 0.1337 (multiplicity 2)  3 Nd 3.02, 3 H 3.02
Br 0.6667 0.3333 0.3702 (multiplicity 2)  3 Pu 2.98, 3 H 2.98

---

[2]
VASP calculation (PBE-GGA) on a relaxed structure of TbNdH2Br4.

As for the total energy: -4.38 eV per atom.

Cell lengths 3.9249, 3.9249, 14.8677 Å; angles 90.00, 90.00, 120.00 degrees
Last column: nearest neighbours and their distance in Å.
Space group P-6m2 (No. 187)
Asymmetric unit:
Tb 0.0000 0.0000 0.0000 (multiplicity 1)  3 H 2.27
Nd 0.0000 0.0000 0.5000 (multiplicity 1)  3 H 2.27
H 0.3333 0.6667 0.0000 (multiplicity 1)  3 Tb 2.27
H 0.6667 0.3333 0.5000 (multiplicity 1)  3 Nd 2.27
Br 0.3333 0.6667 0.3672 (multiplicity 2)  3 Nd 3.01, 3 H 3.01
Br 0.6667 0.3333 0.1272 (multiplicity 2)  3 Tb 2.95, 3 H 2.95

---

[3]
VASP calculation (PBE-GGA) on a relaxed structure of NdTmH2Br4.

As for the total energy: -4.33 eV per atom.

Cell lengths 3.8876, 3.8876, 14.8399 Å; angles 90.00, 90.00, 120.00 degrees
Last column: nearest neighbours and their distance in Å.
Space group P-6m2 (No. 187)
Asymmetric unit:
Nd 0.0000 0.0000 0.0000 (multiplicity 1)  3 H 2.24
Tm 0.0000 0.0000 0.5000 (multiplicity 1)  3 H 2.24
H 0.3333 0.6667 0.5000 (multiplicity 1)  3 Tm 2.24
H 0.6667 0.3333 0.0000 (multiplicity 1)  3 Nd 2.24
Br 0.3333 0.6667 0.1339 (multiplicity 2)  3 Nd 3.00, 3 H 3.00
Br 0.6667 0.3333 0.3746 (multiplicity 2)  3 Tm 2.92, 3 H 2.92